Record 1
The following is a PBE calculation of a geometry-optimized YOs2Se structure, from the Alexandria database.

For the total energy, the calculation gives -7.95 eV/atom.

The structure belongs to space group P2/m (No. 10); the cell edges are 3.6585, 5.1673 and 4.2110 Å and the angles 90.00°, 91.04° and 90.00°. Symmetry generates all atoms from Y at (0.0000, 0.0000, 0.0000), Os at (0.3372, 0.5000, 0.2400) and Se at (0.5000, 0.0000, 0.5000).

Record 2
The following is a PBE calculation of a geometry-optimized YOsSe2 structure, from the Alexandria database.

The value obtained for the offset from the most stable computed form is 121.6 meV/atom. For the total energy, the calculation gives -6.56 eV/atom.

The structure belongs to space group P4mm (No. 99); the cell edges are 3.3710, 3.3710 and 8.2122 Å and the angles 90.00°, 90.00° and 90.00°. Symmetry generates all atoms from Y at (0.0000, 0.0000, 0.0000), Os at (0.5000, 0.5000, 0.2808), Se at (0.0000, 0.0000, 0.4004) and Se at (0.5000, 0.5000, 0.8208).

Record 3
The following is a PBE calculation of a geometry-optimized YOsSe2 structure, from the Alexandria database.

The value obtained for the offset from the most stable computed form is 84.5 meV/atom. For the total energy, the calculation gives -6.60 eV/atom.

The structure belongs to space group R3m (No. 160, hexagonal axes); the cell edges are 3.8671, 3.8671 and 23.6542 Å and the angles 90.00°, 90.00° and 120.00°. Symmetry generates all atoms from Y at (0.0000, 0.0000, 0.0000), Os at (0.0000, 0.0000, 0.2361), Se at (0.0000, 0.0000, 0.5328) and Se at (0.0000, 0.0000, 0.7343).

Record 4
The following is a PBE calculation of a geometry-optimized Y2OsSe structure, from the Alexandria database.

The value obtained for the offset from the most stable computed form is 844.9 meV/atom. For the total energy, the calculation gives -6.90 eV/atom.

The structure belongs to space group F-43m (No. 216); the cell edges are 6.9253, 6.9253 and 6.9253 Å and the angles 90.00°, 90.00° and 90.00°. Symmetry generates all atoms from Y at (0.0000, 0.0000, 0.0000), Y at (0.2500, 0.2500, 0.2500), Os at (0.0000, 0.0000, 0.5000) and Se at (0.2500, 0.2500, 0.7500).

Record 5
The following is a PBE calculation of a geometry-optimized Y2OsSe structure, from the Alexandria database.

The value obtained for the offset from the most stable computed form is 305.6 meV/atom. For the total energy, the calculation gives -7.44 eV/atom.

The structure belongs to space group Imm2 (No. 44); the cell edges are 3.5336, 4.4536 and 11.3426 Å and the angles 90.00°, 90.00° and 90.00°. Symmetry generates all atoms from Y at (0.0000, 0.0000, 0.0000), Y at (0.0000, 0.5000, 0.2255), Os at (0.0000, 0.5000, 0.7153) and Se at (0.0000, 0.0000, 0.4194).

Record 6
The following is a PBE calculation of a geometry-optimized YOsSe2 structure, from the Alexandria database.

The value obtained for the offset from the most stable computed form is 531.8 meV/atom. For the total energy, the calculation gives -6.15 eV/atom.

The structure belongs to space group R-3m (No. 166, hexagonal axes); the cell edges are 4.0413, 4.0413 and 24.2278 Å and the angles 90.00°, 90.00° and 120.00°. Symmetry generates all atoms from Y at (0.0000, 0.0000, 0.0000), Os at (0.0000, 0.0000, 0.5000) and Se at (0.0000, 0.0000, 0.4003).

Record 7
The following is a PBE calculation of a geometry-optimized Y2OsSe structure, from the Alexandria database.

The value obtained for the offset from the most stable computed form is 0.0 meV/atom. For the total energy, the calculation gives -7.75 eV/atom.

The structure belongs to space group P2/m (No. 10); the cell edges are 3.4722, 3.4680 and 7.2261 Å and the angles 90.00°, 90.07° and 90.00°. Symmetry generates all atoms from Y at (0.0006, 0.0000, 0.2330), Os at (0.5000, 0.5000, 0.0000) and Se at (0.5000, 0.5000, 0.5000).

Record 8
The following is a PBE calculation of a geometry-optimized YOsSe2 structure, from the Alexandria database.

The value obtained for the offset from the most stable computed form is 92.2 meV/atom. For the total energy, the calculation gives -6.59 eV/atom.

The structure belongs to space group Cmmm (No. 65); the cell edges are 6.0514, 7.0485 and 4.0010 Å and the angles 90.00°, 90.00° and 90.00°. Symmetry generates all atoms from Y at (0.0000, 0.0000, 0.0000), Os at (0.0000, 0.5000, 0.0000) and Se at (0.0000, 0.2940, 0.5000).

Record 9
The following is a PBE calculation of a geometry-optimized YOsSe2 structure, from the Alexandria database.

The value obtained for the offset from the most stable computed form is 0.0 meV/atom. For the total energy, the calculation gives -6.68 eV/atom.

The structure belongs to space group R-3m (No. 166, hexagonal axes); the cell edges are 4.1067, 4.1067 and 16.2092 Å and the angles 90.00°, 90.00° and 120.00°. Symmetry generates all atoms from Y at (0.0000, 0.0000, 0.0000), Os at (0.0000, 0.0000, 0.5000) and Se at (0.0000, 0.0000, 0.2313).

Record 10
The following is a PBE calculation of a geometry-optimized YOsSe2 structure, from the Alexandria database.

The value obtained for the offset from the most stable computed form is 121.9 meV/atom. For the total energy, the calculation gives -6.56 eV/atom.

The structure belongs to space group Cm (No. 8); the cell edges are 10.3021, 3.7050 and 4.3204 Å and the angles 90.00°, 90.40° and 90.00°. Symmetry generates all atoms from Y at (0.0000, 0.0000, 0.0000), Os at (0.2018, 0.0000, 0.5085), Se at (0.2140, 0.5000, 0.9252) and Se at (0.4410, 0.0000, 0.4955).

Record 11
The following is a PBE calculation of a geometry-optimized YOs2Se structure, from the Alexandria database.

For the total energy, the calculation gives -7.88 eV/atom.

The structure belongs to space group I4/mmm (No. 139); the cell edges are 3.7940, 3.7940 and 10.1804 Å and the angles 90.00°, 90.00° and 90.00°. Symmetry generates all atoms from Y at (0.0000, 0.0000, 0.0000), Os at (0.0000, 0.5000, 0.2500) and Se at (0.0000, 0.0000, 0.5000).

Record 12
The following is a PBE calculation of a geometry-optimized YOs2Se structure, from the Alexandria database.

For the total energy, the calculation gives -8.00 eV/atom.

The structure belongs to space group P4mm (No. 99); the cell edges are 3.0828, 3.0828 and 7.5039 Å and the angles 90.00°, 90.00° and 90.00°. Symmetry generates all atoms from Y at (0.0000, 0.0000, 0.0000), Os at (0.0000, 0.0000, 0.4904), Os at (0.5000, 0.5000, 0.2868) and Se at (0.5000, 0.5000, 0.7253).

Please write out number 2 again, unchanged.
The following is a PBE calculation of a geometry-optimized YOsSe2 structure, from the Alexandria database.

The value obtained for the offset from the most stable computed form is 121.6 meV/atom. For the total energy, the calculation gives -6.56 eV/atom.

The structure belongs to space group P4mm (No. 99); the cell edges are 3.3710, 3.3710 and 8.2122 Å and the angles 90.00°, 90.00° and 90.00°. Symmetry generates all atoms from Y at (0.0000, 0.0000, 0.0000), Os at (0.5000, 0.5000, 0.2808), Se at (0.0000, 0.0000, 0.4004) and Se at (0.5000, 0.5000, 0.8208).

- Number 2 is which compound?
  YOsSe2

Please write out number 9 again, unchanged.
The following is a PBE calculation of a geometry-optimized YOsSe2 structure, from the Alexandria database.

The value obtained for the offset from the most stable computed form is 0.0 meV/atom. For the total energy, the calculation gives -6.68 eV/atom.

The structure belongs to space group R-3m (No. 166, hexagonal axes); the cell edges are 4.1067, 4.1067 and 16.2092 Å and the angles 90.00°, 90.00° and 120.00°. Symmetry generates all atoms from Y at (0.0000, 0.0000, 0.0000), Os at (0.0000, 0.0000, 0.5000) and Se at (0.0000, 0.0000, 0.2313).